Below is a relaxed structure of Pr4InSe5, with properties calculated at the PBE-GGA level.

abc: 4.2735 4.2735 54.7274
angles: 90.00 90.00 120.00
Space group R-3m (No. 166, hexagonal axes)
Asymmetric unit:
Pr  0.0000  0.0000  0.0957 (multiplicity 6)
Pr  0.0000  0.0000  0.3014 (multiplicity 6)
In  0.0000  0.0000  0.5000 (multiplicity 3)
Se  0.0000  0.0000  0.0000 (multiplicity 3)
Se  0.0000  0.0000  0.2066 (multiplicity 6)
Se  0.0000  0.0000  0.3972 (multiplicity 6)

Summary:
Uncorrected formation energy ... -16.178 eV per formula unit